An optimized crystal structure of RbTmIn2Br6. Source: Alexandria, functional PBE-GGA.

Values from the calculation:
E_tot ... -3.466 eV per atom
Crystal system ... triclinic
ΔE_f (raw) ... -1.37 eV per atom
Density of states at the Fermi level ... 0.00 states/eV/cell

Lattice parameters (Å, degrees): 8.173 8.172 8.480 61.16 61.17 59.96
Element x y z (fractional)
In: 0.015 0.015 0.956
Br: 0.409 0.676 0.777
Rb: 0.814 0.814 0.557
Br: 0.987 0.555 0.238
In: 0.523 0.523 0.431
Br: 0.555 0.220 0.238
Br: 0.139 0.409 0.777
Br: 0.676 0.139 0.777
Tm: 0.324 0.324 0.027
Br: 0.220 0.987 0.238

An optimized crystal structure of Ba3ZrW. Source: Alexandria, functional PBE-GGA.

Values from the calculation:
E_tot ... -3.973 eV per atom
Crystal system ... cubic
E above lowest polymorph ... 0 meV per atom
Formation enthalpy at 0 K ... 7.4 eV per formula unit
Density of states at the Fermi level ... 7.45 states/eV/cell

Lattice parameters (Å, degrees): 6.019 6.019 6.019 90.00 90.00 90.00
Site moments in Bohr magnetons follow the coordinates.
Element x y z (fractional)
Ba: 0.500 0.000 0.000  0.06
W: 0.000 0.000 0.000  -0.24
Zr: 0.500 0.500 0.500  1.59
Ba: 0.000 0.500 0.000  0.05
Ba: 0.000 0.000 0.500  0.08

An optimized crystal structure of IrC. Source: Alexandria, functional PBE-GGA.

Values from the calculation:
E_tot ... -8.373 eV per atom
Crystal system ... hexagonal
E above lowest polymorph ... 212 meV per atom
Formation enthalpy at 0 K ... 1.3 eV per formula unit
Density of states at the Fermi level ... 1.52 states/eV/cell

Lattice parameters (Å, degrees): 3.282 3.282 5.378 90.00 90.00 120.00
Element x y z (fractional)
C: 0.333 0.667 0.899
Ir: 0.667 0.333 0.021
Ir: 0.333 0.667 0.521
C: 0.667 0.333 0.399